A plane-wave DFT calculation with GGA-PBE was carried out for crystalline Ca2AcHg at its relaxed geometry.

## Properties
* calculated total energy: -2.36 eV/atom
* symmetry: Pnma
* volume: 36.73 Å³/atom
* energy of formation from the pure elements: -253.6 meV/atom
* E above lowest polymorph: 0.0 meV per atom
* DOS at the Fermi energy: 4.19 states/eV/f.u.

abc: 6.7817 7.7547 11.1758
angles: 90.00 90.00 90.00
With the nearest neighbours (Å) after each atom.
Fractional positions:
Ca (0.3318, 0.1815, 0.0528)  2 Hg 3.14-3.19
Ca (0.8318, 0.3185, 0.9472)  2 Hg 3.14-3.19
Ca (0.6682, 0.8185, 0.5528)  2 Hg 3.14-3.19
Ca (0.1682, 0.6815, 0.4472)  2 Hg 3.14-3.19
Ca (0.1682, 0.6815, 0.0528)  2 Hg 3.14-3.19
Ca (0.8318, 0.3185, 0.5528)  2 Hg 3.14-3.19
Ca (0.6682, 0.8185, 0.9472)  2 Hg 3.14-3.19
Ca (0.3318, 0.1815, 0.4472)  2 Hg 3.14-3.19
Ac (0.1284, 0.9816, 0.7500)  3 Hg 3.32-3.70
Ac (0.6284, 0.5184, 0.2500)  3 Hg 3.32-3.70
Ac (0.8716, 0.0184, 0.2500)  3 Hg 3.32-3.70
Ac (0.3716, 0.4816, 0.7500)  3 Hg 3.32-3.70
Hg (0.9008, 0.6004, 0.7500)  4 Ca 3.14-3.19, 2 Ac 3.32-3.34
Hg (0.4008, 0.8996, 0.2500)  4 Ca 3.14-3.19, 2 Ac 3.32-3.34
Hg (0.5992, 0.1004, 0.7500)  4 Ca 3.14-3.19, 2 Ac 3.32-3.34
Hg (0.0992, 0.3996, 0.2500)  4 Ca 3.14-3.19, 2 Ac 3.32-3.34

***

A plane-wave DFT calculation with GGA-PBE was carried out for crystalline CaAcHg6 at its relaxed geometry.

## Properties
* calculated total energy: -1.38 eV/atom
* symmetry: Amm2
* volume: 27.16 Å³/atom
* energy of formation from the pure elements: -392.4 meV/atom
* DOS at the Fermi energy: 5.59 states/eV/f.u.

abc: 5.2467 6.8920 6.8920
angles: 119.32 90.00 90.00
With the nearest neighbours (Å) after each atom.
Fractional positions:
Ac (0.0000, 0.0892, 0.9108)  12 Hg 3.36-3.48
Ca (0.5000, 0.4111, 0.5889)  12 Hg 3.32-3.48
Hg (0.0000, 0.0717, 0.4051)  7 Hg 3.24-3.48, 2 Ca 3.32, 2 Ac 3.43-3.47
Hg (0.5000, 0.9111, 0.0889)  8 Hg 3.24-3.60, 2 Ac 3.37, 2 Ca 3.48
Hg (0.0000, 0.5824, 0.4176)  8 Hg 3.25-3.48, 2 Ca 3.32, 2 Ac 3.48
Hg (0.5000, 0.9010, 0.5618)  7 Hg 3.22-3.60, 2 Ac 3.36, 2 Ca 3.43-3.47
Hg (0.5000, 0.4382, 0.0990)  7 Hg 3.22-3.60, 2 Ac 3.36, 2 Ca 3.43-3.47
Hg (0.0000, 0.5949, 0.9283)  7 Hg 3.24-3.48, 2 Ca 3.32, 2 Ac 3.43-3.47

***

A plane-wave DFT calculation with GGA-PBE was carried out for crystalline Ca4AcHg2 at its relaxed geometry.

## Properties
* calculated total energy: -2.09 eV/atom
* symmetry: P2_1/m
* volume: 35.12 Å³/atom
* energy of formation from the pure elements: -277.4 meV/atom
* DOS at the Fermi energy: 9.27 states/eV/f.u.

abc: 6.8653 8.8797 8.6677
angles: 111.47 90.00 90.00
With the nearest neighbours (Å) after each atom.
Fractional positions:
Ca (0.0012, 0.5799, 0.2313)  4 Hg 3.26-3.42, 2 Ca 3.42-3.45
Ca (0.2500, 0.2647, 0.3515)  2 Hg 3.13-3.17
Ca (0.4988, 0.5799, 0.2313)  4 Hg 3.26-3.42, 2 Ca 3.42-3.45
Ca (0.5012, 0.4201, 0.7687)  4 Hg 3.26-3.42, 2 Ca 3.42-3.45
Ca (0.7500, 0.0162, 0.3958)  2 Hg 3.10-3.25
Ca (0.7500, 0.7353, 0.6485)  2 Hg 3.13-3.17
Ca (0.9988, 0.4201, 0.7687)  4 Hg 3.26-3.42, 2 Ca 3.42-3.45
Ca (0.2500, 0.9838, 0.6042)  2 Hg 3.10-3.25
Hg (0.7500, 0.7497, 0.0199)  6 Ca 3.17-3.40, 1 Ac 3.52
Hg (0.2500, 0.6290, 0.5886)  6 Ca 3.10-3.42, 1 Ac 3.40
Hg (0.2500, 0.2503, 0.9801)  6 Ca 3.17-3.40, 1 Ac 3.52
Hg (0.7500, 0.3710, 0.4114)  6 Ca 3.10-3.42, 1 Ac 3.40
Ac (0.2500, 0.8610, 0.0001)  4 Hg 3.40-3.59, 1 Ca 3.76
Ac (0.7500, 0.1390, 0.9999)  4 Hg 3.40-3.59, 1 Ca 3.76

***

A plane-wave DFT calculation with GGA-PBE was carried out for crystalline Ca3Ac2Hg2 at its relaxed geometry.

## Properties
* calculated total energy: -2.39 eV/atom
* symmetry: C2/m
* volume: 35.39 Å³/atom
* energy of formation from the pure elements: -275.4 meV/atom
* DOS at the Fermi energy: 7.26 states/eV/f.u.

abc: 5.3366 6.2258 8.8320
angles: 108.79 90.00 115.38
With the nearest neighbours (Å) after each atom.
Fractional positions:
Ca (0.3627, 0.7254, 0.5592)  3 Hg 3.17-3.54
Ca (0.6373, 0.2746, 0.4408)  3 Hg 3.17-3.54
Ca (0.5000, 0.0000, 0.0000)  4 Hg 3.38, 2 Ca 3.64
Hg (0.1701, 0.3403, 0.1951)  5 Ca 3.17-3.54, 4 Ac 3.39-3.49
Hg (0.8299, 0.6597, 0.8049)  5 Ca 3.17-3.54, 4 Ac 3.39-3.49
Ac (0.1256, 0.2511, 0.7852)  4 Hg 3.39-3.49
Ac (0.8744, 0.7489, 0.2148)  4 Hg 3.39-3.49

***

A plane-wave DFT calculation with GGA-PBE was carried out for crystalline CaAc2Hg8 at its relaxed geometry.

## Properties
* calculated total energy: -1.53 eV/atom
* symmetry: C2/m
* volume: 28.61 Å³/atom
* energy of formation from the pure elements: -383.9 meV/atom
* DOS at the Fermi energy: 6.58 states/eV/f.u.

abc: 5.4489 6.9097 9.4525
angles: 111.54 106.88 89.67
With the nearest neighbours (Å) after each atom.
Fractional positions:
Hg (0.6960, 0.1960, 0.3921)  6 Hg 3.23-3.48, 1 Ca 3.28, 4 Ac 3.36-3.46
Hg (0.8870, 0.0918, 0.7386)  3 Hg 2.95-3.23
Hg (0.1484, 0.3531, 0.2614)  3 Hg 2.95-3.23
Hg (0.2506, 0.5818, 0.0000)  4 Hg 2.94-2.96, 1 Ca 3.20
Hg (0.7494, 0.4182, 0.0000)  4 Hg 2.94-2.96, 1 Ca 3.20
Hg (0.8516, 0.6469, 0.7386)  3 Hg 2.95-3.23
Hg (0.1130, 0.9082, 0.2614)  3 Hg 2.95-3.23
Hg (0.3040, 0.8040, 0.6079)  6 Hg 3.23-3.48, 1 Ca 3.28, 4 Ac 3.36-3.46
Ac (0.3139, 0.3139, 0.6277)  12 Hg 3.36-3.53
Ac (0.6861, 0.6861, 0.3723)  12 Hg 3.36-3.53
Ca (0.5000, 0.0000, 0.0000)  4 Hg 3.20-3.28

***

A plane-wave DFT calculation with GGA-PBE was carried out for crystalline Ca4Ac3Hg4 at its relaxed geometry.

## Properties
* calculated total energy: -2.33 eV/atom
* symmetry: Immm
* volume: 34.26 Å³/atom
* energy of formation from the pure elements: -372.3 meV/atom
* DOS at the Fermi energy: 10.96 states/eV/f.u.

abc: 3.9758 10.0503 10.8705
angles: 117.53 100.54 90.00
With the nearest neighbours (Å) after each atom.
Fractional positions:
Ac (0.0983, 0.0983, 0.1965)  6 Hg 3.35-3.51, 1 Ac 3.71
Ac (0.0000, 0.5000, 0.0000)  4 Hg 3.44
Ac (0.9017, 0.9017, 0.8035)  6 Hg 3.35-3.51, 1 Ac 3.71
Ca (0.3319, 0.1477, 0.6637)  4 Hg 3.21-3.46
Ca (0.6681, 0.4840, 0.3363)  4 Hg 3.21-3.46
Ca (0.6681, 0.8523, 0.3363)  4 Hg 3.21-3.46
Ca (0.3319, 0.5160, 0.6637)  4 Hg 3.21-3.46
Hg (0.7415, 0.2415, 0.4830)  6 Ca 3.21-3.46, 2 Ac 3.35
Hg (0.5000, 0.7793, 0.0000)  2 Ca 3.31, 6 Ac 3.44-3.51
Hg (0.5000, 0.2207, 0.0000)  2 Ca 3.31, 6 Ac 3.44-3.51
Hg (0.2585, 0.7585, 0.5170)  6 Ca 3.21-3.46, 2 Ac 3.35

***

A plane-wave DFT calculation with GGA-PBE was carried out for crystalline CaAc6Hg5 at its relaxed geometry.

## Properties
* calculated total energy: -2.71 eV/atom
* symmetry: Immm
* volume: 34.08 Å³/atom
* energy of formation from the pure elements: -367.9 meV/atom
* DOS at the Fermi energy: 12.13 states/eV/f.u.

abc: 5.7403 8.2062 10.0216
angles: 114.17 106.64 90.00
With the nearest neighbours (Å) after each atom.
Fractional positions:
Ac (0.5000, 0.2725, 0.0000)  6 Hg 3.40-3.47, 2 Ca 3.64, 1 Ac 3.73
Ac (0.1738, 0.4321, 0.3477)  7 Hg 3.47-3.68, 1 Ca 3.69
Ac (0.8262, 0.5679, 0.6523)  7 Hg 3.47-3.68, 1 Ca 3.69
Ac (0.5000, 0.7275, 0.0000)  6 Hg 3.40-3.47, 2 Ca 3.64, 1 Ac 3.73
Ac (0.1739, 0.9156, 0.3477)  7 Hg 3.47-3.68, 1 Ca 3.69
Ac (0.8261, 0.0844, 0.6523)  7 Hg 3.47-3.68, 1 Ca 3.69
Hg (0.0000, 0.5000, 0.0000)  8 Ac 3.42-3.61
Hg (0.3523, 0.8523, 0.7046)  8 Ac 3.40-3.68
Hg (0.3318, 0.3318, 0.6636)  8 Ac 3.47-3.49
Hg (0.6477, 0.1477, 0.2954)  8 Ac 3.40-3.68
Hg (0.6682, 0.6682, 0.3364)  8 Ac 3.47-3.49
Ca (0.0000, 0.0000, 0.0000)  8 Ac 3.64-3.69, 4 Hg 3.85

***

A plane-wave DFT calculation with GGA-PBE was carried out for crystalline Ca2AcHg2 at its relaxed geometry.

## Properties
* calculated total energy: -2.15 eV/atom
* symmetry: P2_1/m
* volume: 32.27 Å³/atom
* energy of formation from the pure elements: -403.6 meV/atom
* E above lowest polymorph: 0.0 meV per atom
* DOS at the Fermi energy: 3.87 states/eV/f.u.

abc: 3.9049 5.6926 14.6518
angles: 90.00 97.71 90.00
With the nearest neighbours (Å) after each atom.
Fractional positions:
Hg (0.5437, 0.2500, 0.0886)  6 Ca 3.26-3.45, 2 Ac 3.40
Hg (0.6407, 0.7500, 0.2793)  4 Ca 3.24-3.36, 4 Ac 3.45
Hg (0.3593, 0.2500, 0.7207)  4 Ca 3.24-3.36, 4 Ac 3.45
Hg (0.4563, 0.7500, 0.9114)  6 Ca 3.26-3.45, 2 Ac 3.40
Ac (0.8588, 0.7500, 0.7196)  6 Hg 3.40-3.45
Ac (0.1412, 0.2500, 0.2804)  6 Hg 3.40-3.45
Ca (0.2289, 0.7500, 0.4577)  2 Hg 3.24-3.25
Ca (0.7711, 0.2500, 0.5423)  2 Hg 3.24-3.25
Ca (0.0464, 0.7500, 0.0914)  8 Hg 3.26-3.45
Ca (0.9536, 0.2500, 0.9086)  8 Hg 3.26-3.45